DFT (PBE) results for Er4ScS7 after structural relaxation.

Cell: 3.7427 6.5513 11.4250 Å, 104.00 90.00 106.60°
With the nearest neighbours (Å) after each atom.
Fractional coordinates of all 12 atoms:
1 Er 0.9993 0.9986 0.9973  6 S 2.66-2.70
2 Er 0.3009 0.6019 0.1911  7 S 2.71-2.94
3 Er 0.1115 0.2229 0.4275  6 S 2.65-2.75
4 Er 0.6985 0.3970 0.8048  7 S 2.72-2.98
5 S 0.0370 0.0740 0.7786  1 Sc 2.57, 3 Er 2.66-2.72
6 S 0.4959 0.9917 0.5046  2 Sc 2.56, 2 Er 2.65
7 S 0.3388 0.6775 0.9475  5 Er 2.70-2.94
8 S 0.2659 0.5319 0.6461  2 Sc 2.66, 3 Er 2.75-2.88
9 S 0.9608 0.9216 0.2156  4 Er 2.66-2.71
10 S 0.6592 0.3185 0.0510  5 Er 2.70-2.98
11 S 0.7435 0.4871 0.3584  1 Sc 2.70, 4 Er 2.75-2.89
12 Sc 0.8887 0.7773 0.5775  6 S 2.56-2.70

E_tot = -77.941 eV per cell
DOS(E_F) = 1.6 states/eV per cell
E_form (uncorrected) = -2.039 eV per atom